1.
Zn2SiSb | PBE | relaxed Values from VASP.

Geometry as Quantum ESPRESSO input:
```
&SYSTEM
  ibrav = 0, nat = 4, ntyp = 3
/
ATOMIC_SPECIES
Sb 121.76 Sb.upf
Si 28.09 Si.upf
Zn 65.41 Zn.upf
ATOMIC_POSITIONS crystal
Sb 0.4425 0.4425 0.0000
Si 0.2521 0.7521 0.5000
Zn 0.0680 0.0680 0.0000
Zn 0.7373 0.2373 0.5000
CELL_PARAMETERS angstrom
-3.2008 3.3146 4.1079
-1.7155 -1.5208 5.7316
4.6697 0.2736 -4.0281
```

Calculated values
formation energy from raw total energies: 241 meV per atom
space group: No. 44
calculated density: 5.9 Mg/m³
polymorph energy (0 for the lowest one): 26 kJ/mol of formula units
volume: 78 Å³ per cell
magnetic moment: 0.00 μB/f.u.

2.
ZnSi2Sb | PBE | relaxed Values from VASP.

Geometry as Quantum ESPRESSO input:
```
&SYSTEM
  ibrav = 0, nat = 4, ntyp = 3
/
ATOMIC_SPECIES
Sb 121.76 Sb.upf
Si 28.09 Si.upf
Zn 65.41 Zn.upf
ATOMIC_POSITIONS crystal
Sb 0.2500 0.2500 0.2500
Si 0.9982 0.9982 0.9239
Si 0.5018 0.5018 0.5761
Zn 0.7500 0.7500 0.7500
CELL_PARAMETERS angstrom
-2.2558 -1.5662 3.4383
-1.0874 -4.1492 0.9826
3.6158 -1.9787 3.8018
```

Calculated values
formation energy from raw total energies: 381 meV per atom
space group: No. 12
calculated density: 5.2 Mg/m³
polymorph energy (0 for the lowest one): 48 kJ/mol of formula units
volume: 78 Å³ per cell
magnetic moment: 0.00 μB/f.u.

3.
ZnSi2Sb | PBE | relaxed Values from VASP.

Geometry as Quantum ESPRESSO input:
```
&SYSTEM
  ibrav = 0, nat = 4, ntyp = 3
/
ATOMIC_SPECIES
Sb 121.76 Sb.upf
Zn 65.41 Zn.upf
Si 28.09 Si.upf
ATOMIC_POSITIONS crystal
Sb 0.5000 0.5000 0.5000
Zn 0.0000 0.0000 0.0000
Si 0.2500 0.2500 0.2500
Si 0.7500 0.7500 0.7500
CELL_PARAMETERS angstrom
-4.3513 -1.8357 0.5666
-3.8392 2.6627 -0.8917
-2.7047 -0.9246 -3.8019
```

Calculated values
formation energy from raw total energies: 554 meV per atom
space group: No. 225
calculated density: 5.3 Mg/m³
polymorph energy (0 for the lowest one): 115 kJ/mol of formula units
volume: 76 Å³ per cell
magnetic moment: 0.00 μB/f.u.

4.
Zn2SiSb | PBE | relaxed Values from VASP.

Geometry as Quantum ESPRESSO input:
```
&SYSTEM
  ibrav = 0, nat = 4, ntyp = 3
/
ATOMIC_SPECIES
Sb 121.76 Sb.upf
Si 28.09 Si.upf
Zn 65.41 Zn.upf
ATOMIC_POSITIONS crystal
Sb 0.7500 0.7500 0.7500
Si 0.2500 0.2500 0.2500
Zn 0.9905 0.9905 0.0498
Zn 0.5095 0.5095 0.4502
CELL_PARAMETERS angstrom
-3.8269 -1.3624 -1.2725
-1.4178 -3.7822 -1.3435
-2.2382 -2.3762 5.0444
```

Calculated values
formation energy from raw total energies: 251 meV per atom
space group: No. 12
calculated density: 6.0 Mg/m³
polymorph energy (0 for the lowest one): 30 kJ/mol of formula units
volume: 78 Å³ per cell
magnetic moment: 0.00 μB/f.u.

5.
ZnSi2Sb | PBE | relaxed Values from VASP.

Geometry as Quantum ESPRESSO input:
```
&SYSTEM
  ibrav = 0, nat = 4, ntyp = 3
/
ATOMIC_SPECIES
Sb 121.76 Sb.upf
Si 28.09 Si.upf
Zn 65.41 Zn.upf
ATOMIC_POSITIONS crystal
Sb 0.5000 0.5000 0.0000
Si 0.0000 0.0000 0.0000
Si 0.5000 0.0000 0.5000
Zn 0.0000 0.5000 0.5000
CELL_PARAMETERS angstrom
-3.0284 -2.1641 -0.9368
4.4776 -3.4788 1.1494
-0.3487 -1.3053 3.5927
```

Calculated values
formation energy from raw total energies: 356 meV per atom
space group: No. 69
calculated density: 5.3 Mg/m³
polymorph energy (0 for the lowest one): 39 kJ/mol of formula units
volume: 76 Å³ per cell
magnetic moment: 0.00 μB/f.u.

6.
Zn2SiSb | PBE | relaxed Values from VASP.

Geometry as Quantum ESPRESSO input:
```
&SYSTEM
  ibrav = 0, nat = 4, ntyp = 3
/
ATOMIC_SPECIES
Sb 121.76 Sb.upf
Si 28.09 Si.upf
Zn 65.41 Zn.upf
ATOMIC_POSITIONS crystal
Sb 0.5676 0.5676 0.5199
Si 0.2108 0.2108 0.1575
Zn 0.9514 0.9514 0.0457
Zn 0.7702 0.7702 0.7768
CELL_PARAMETERS angstrom
-2.4639 -0.0346 -3.6673
1.2505 -0.0188 -4.2376
-0.3534 -5.4718 -2.4536
```

Calculated values
formation energy from raw total energies: 173 meV per atom
space group: No. 8
calculated density: 5.7 Mg/m³
polymorph energy (0 for the lowest one): 0 kJ/mol of formula units
volume: 82 Å³ per cell
magnetic moment: 0.00 μB/f.u.